A relaxed ThPa5 crystal, computed with GGA-PBE. Values from VASP.

## Properties
Calculated formation energy ... 0.047 eV/atom
Space group ... Cmmm, No. 65

```
&SYSTEM
  ibrav = 0, nat = 6, ntyp = 2
/
ATOMIC_SPECIES
Th 232.04 Th.upf
Pa 231.04 Pa.upf
CELL_PARAMETERS angstrom
2.365 -7.058 0.000
2.365 7.058 0.000
0.000 0.000 4.689
ATOMIC_POSITIONS angstrom
Th 0.000 0.000 0.000
Pa 2.365 4.682 2.344
Pa 2.365 2.373 0.000
Pa 2.365 0.000 2.344
Pa 2.365 -2.373 0.000
Pa 2.365 -4.682 2.344
```